[1]
# OsRhCl2 (PBE, relaxed)
data_OsRhCl2
_chemical_formula_sum 'Os2 Rh2 Cl4'
_space_group_name_H-M_alt 'I -4 m 2'
_space_group_IT_number 119
_space_group_name_Hall 'I -4 -2'
_cell_length_a 4.481
_cell_length_b 4.481
_cell_length_c 6.381
_cell_angle_alpha 90.00
_cell_angle_beta 90.00
_cell_angle_gamma 90.00
loop_
_atom_site_label
_atom_site_type_symbol
_atom_site_fract_x
_atom_site_fract_y
_atom_site_fract_z
Os1 Os 0.000 0.000 0.000
Rh1 Rh 0.000 0.500 0.750
Cl1 Cl 0.000 0.000 0.500
Cl2 Cl 0.000 0.500 0.250
# **Offset from the most stable computed form**: 1003 meV/atom
# **Density of states at the Fermi level**: 8.3 states/eV/cell
# **ρ**: 9.44 g/cm3

=====

[2]
# OsRhCl2 (PBE, relaxed)
data_OsRhCl2
_chemical_formula_sum 'Os2 Rh2 Cl4'
_space_group_name_H-M_alt 'I m m 2'
_space_group_IT_number 44
_cell_length_a 2.876
_cell_length_b 4.302
_cell_length_c 11.214
_cell_angle_alpha 90.00
_cell_angle_beta 90.00
_cell_angle_gamma 90.00
loop_
_space_group_symop_operation_xyz
'x,y,z'
'-x,-y,z'
'-x,y,z'
'x,-y,z'
'x+1/2,y+1/2,z+1/2'
'-x+1/2,-y+1/2,z+1/2'
'-x+1/2,y+1/2,z+1/2'
'x+1/2,-y+1/2,z+1/2'
loop_
_atom_site_label
_atom_site_type_symbol
_atom_site_fract_x
_atom_site_fract_y
_atom_site_fract_z
Os1 Os 0.000 0.000 0.000
Rh1 Rh 0.000 0.500 0.312
Cl1 Cl 0.000 0.000 0.503
Cl2 Cl 0.000 0.500 0.703
# **Offset from the most stable computed form**: 691 meV/atom
# **Density of states at the Fermi level**: 10.2 states/eV/cell
# **ρ**: 8.71 g/cm3

=====

[3]
# OsRhCl2 (PBE, relaxed)
data_OsRhCl2
_chemical_formula_sum 'Os1 Rh1 Cl2'
_space_group_name_H-M_alt 'P m m m'
_space_group_IT_number 47
_cell_length_a 2.838
_cell_length_b 4.147
_cell_length_c 5.368
_cell_angle_alpha 90.00
_cell_angle_beta 90.00
_cell_angle_gamma 90.00
loop_
_space_group_symop_operation_xyz
'x,y,z'
'-x,-y,-z'
'-x,-y,z'
'x,y,-z'
'x,-y,-z'
'-x,y,z'
'-x,y,-z'
'x,-y,z'
loop_
_atom_site_label
_atom_site_type_symbol
_atom_site_fract_x
_atom_site_fract_y
_atom_site_fract_z
Os1 Os 0.000 0.000 0.000
Rh1 Rh 0.500 0.000 0.500
Cl1 Cl 0.000 0.500 0.500
Cl2 Cl 0.500 0.500 0.000
# **Offset from the most stable computed form**: 727 meV/atom
# **Density of states at the Fermi level**: 4.0 states/eV/cell
# **ρ**: 9.57 g/cm3

=====

[4]
# OsRhS2Cl (PBE, relaxed)
data_OsRhS2Cl
_chemical_formula_sum 'Os1 Rh1 S2 Cl1'
_space_group_name_H-M_alt 'P 4/m m m'
_space_group_IT_number 123
_space_group_name_Hall '-P 4 2'
_cell_length_a 4.515
_cell_length_b 4.515
_cell_length_c 4.975
_cell_angle_alpha 90.00
_cell_angle_beta 90.00
_cell_angle_gamma 90.00
loop_
_atom_site_label
_atom_site_type_symbol
_atom_site_fract_x
_atom_site_fract_y
_atom_site_fract_z
Os1 Os 0.000 0.000 0.000
Rh1 Rh 0.500 0.500 0.500
S1 S 0.000 0.500 0.000
Cl1 Cl 0.000 0.000 0.500
# **Offset from the most stable computed form**: 0 meV/atom
# **Density of states at the Fermi level**: 6.5 states/eV/cell
# **ρ**: 6.43 g/cm3

=====

[5]
# OsRhS2Cl (PBE, relaxed)
data_OsRhS2Cl
_chemical_formula_sum 'Os1 Rh1 S2 Cl1'
_space_group_name_H-M_alt 'P 4/m m m'
_space_group_IT_number 123
_space_group_name_Hall '-P 4 2'
_cell_length_a 4.645
_cell_length_b 4.645
_cell_length_c 4.617
_cell_angle_alpha 90.00
_cell_angle_beta 90.00
_cell_angle_gamma 90.00
loop_
_atom_site_label
_atom_site_type_symbol
_atom_site_fract_x
_atom_site_fract_y
_atom_site_fract_z
Os1 Os 0.000 0.000 0.000
Rh1 Rh 0.500 0.500 0.500
S1 S 0.000 0.500 0.500
Cl1 Cl 0.500 0.500 0.000
# **Offset from the most stable computed form**: 366 meV/atom
# **Density of states at the Fermi level**: 5.2 states/eV/cell
# **ρ**: 6.55 g/cm3

=====

[6]
# Sm6Os2RhCl3 (PBE, relaxed)
data_Sm6Os2RhCl3
_chemical_formula_sum 'Sm12 Os4 Rh2 Cl6'
_space_group_name_H-M_alt 'C 1 2/m 1'
_space_group_IT_number 12
_cell_length_a 6.991
_cell_length_b 12.119
_cell_length_c 7.880
_cell_angle_alpha 90.00
_cell_angle_beta 107.23
_cell_angle_gamma 90.00
loop_
_space_group_symop_operation_xyz
'x,y,z'
'-x,-y,-z'
'-x,y,-z'
'x,-y,z'
'x+1/2,y+1/2,z'
'-x+1/2,-y+1/2,-z'
'-x+1/2,y+1/2,-z'
'x+1/2,-y+1/2,z'
loop_
_atom_site_label
_atom_site_type_symbol
_atom_site_fract_x
_atom_site_fract_y
_atom_site_fract_z
Sm1 Sm 0.230 0.000 0.205
Sm2 Sm 0.238 0.331 0.206
Os1 Os 0.000 0.167 0.000
Rh1 Rh 0.000 0.500 0.000
Cl1 Cl 0.000 0.000 0.500
Cl2 Cl 0.000 0.330 0.500
# **Density of states at the Fermi level**: 10.7 states/eV/cell
# **ρ**: 7.77 g/cm3

=====

[7]
# SrOs2RhCl (PBE, relaxed)
data_SrOs2RhCl
_chemical_formula_sum 'Sr1 Os2 Rh1 Cl1'
_space_group_name_H-M_alt 'P 4/m m m'
_space_group_IT_number 123
_space_group_name_Hall '-P 4 2'
_cell_length_a 5.083
_cell_length_b 5.083
_cell_length_c 5.181
_cell_angle_alpha 90.00
_cell_angle_beta 90.00
_cell_angle_gamma 90.00
loop_
_atom_site_label
_atom_site_type_symbol
_atom_site_fract_x
_atom_site_fract_y
_atom_site_fract_z
Sr1 Sr 0.000 0.000 0.000
Os1 Os 0.000 0.500 0.000
Rh1 Rh 0.500 0.500 0.500
Cl1 Cl 0.000 0.000 0.500
# **Density of states at the Fermi level**: 7.3 states/eV/cell
# **ρ**: 7.52 g/cm3

=====

[8]
# TcOsRhCl2 (PBE, relaxed)
data_TcOsRhCl2
_chemical_formula_sum 'Tc1 Os1 Rh1 Cl2'
_space_group_name_H-M_alt 'P 4/m m m'
_space_group_IT_number 123
_space_group_name_Hall '-P 4 2'
_cell_length_a 4.637
_cell_length_b 4.637
_cell_length_c 4.889
_cell_angle_alpha 90.00
_cell_angle_beta 90.00
_cell_angle_gamma 90.00
loop_
_atom_site_label
_atom_site_type_symbol
_atom_site_fract_x
_atom_site_fract_y
_atom_site_fract_z
Tc1 Tc 0.000 0.000 0.000
Os1 Os 0.500 0.500 0.000
Rh1 Rh 0.500 0.500 0.500
Cl1 Cl 0.000 0.500 0.500
# **Density of states at the Fermi level**: 5.9 states/eV/cell
# **ρ**: 7.30 g/cm3

=====

Number 1: E_form (uncorrected) 1127 meV per atom. Number 2: E_form (uncorrected) 815 meV per atom. Number 3: E_form (uncorrected) 851 meV per atom. Number 4: E_form (uncorrected) 872 meV per atom. Number 5: E_form (uncorrected) 1238 meV per atom. Number 6: E_form (uncorrected) -899 meV per atom. Number 7: E_form (uncorrected) 2796 meV per atom. Number 8: E_form (uncorrected) 1512 meV per atom.